(1)
# Ag2Sn2Ru GGA-PBE relaxed
data_Ag2Sn2Ru
_cell_length_a 7.158
_cell_length_b 7.158
_cell_length_c 4.008
_cell_angle_alpha 90.00
_cell_angle_beta 90.00
_cell_angle_gamma 90.00
_symmetry_space_group_name_H-M 'P 4/m b m'
_symmetry_Int_Tables_number 127
_symmetry_space_group_name_Hall '-P 4 2ab'
loop_
_atom_site_label
_atom_site_fract_x
_atom_site_fract_y
_atom_site_fract_z
Ag1 0.144 0.356 0.000
Sn1 0.160 0.660 0.500
Ru1 0.000 0.000 0.500
# E, eV/atom: -4.314

(2)
# CsRbN2F GGA-PBE relaxed
data_CsRbN2F
_cell_length_a 5.059
_cell_length_b 5.059
_cell_length_c 5.488
_cell_angle_alpha 90.00
_cell_angle_beta 90.00
_cell_angle_gamma 90.00
_symmetry_space_group_name_H-M 'P 4/m m m'
_symmetry_Int_Tables_number 123
_symmetry_space_group_name_Hall '-P 4 2'
loop_
_atom_site_label
_atom_site_fract_x
_atom_site_fract_y
_atom_site_fract_z
Cs1 0.000 0.000 0.000
Rb1 0.500 0.500 0.500
N1 0.000 0.500 0.000
F1 0.000 0.000 0.500
# ΔE_f (raw), eV per atom: 0.8457
# E, eV/atom: -3.223

(3)
# Pr3Nd3Dy GGA-PBE relaxed
data_Pr3Nd3Dy
_cell_length_a 9.8384
_cell_length_b 9.8384
_cell_length_c 5.9267
_cell_angle_alpha 90.00
_cell_angle_beta 90.00
_cell_angle_gamma 120.00
_symmetry_space_group_name_H-M 'P 63/m'
_symmetry_Int_Tables_number 176
_symmetry_space_group_name_Hall '-P 6c'
loop_
_atom_site_label
_atom_site_fract_x
_atom_site_fract_y
_atom_site_fract_z
Pr1 0.0952 0.4762 0.2500
Nd1 0.0466 0.2391 0.7500
Dy1 0.3333 0.6667 0.7500
# E, eV/atom: -4.720

(4)
# Zn2Au GGA-PBE relaxed
data_Zn2Au
_cell_length_a 9.891
_cell_length_b 2.994
_cell_length_c 6.641
_cell_angle_alpha 90.00
_cell_angle_beta 101.62
_cell_angle_gamma 90.00
_symmetry_space_group_name_H-M 'C 1 m 1'
_symmetry_Int_Tables_number 8
_symmetry_space_group_name_Hall 'C -2y'
loop_
_atom_site_label
_atom_site_fract_x
_atom_site_fract_y
_atom_site_fract_z
Zn1 0.000 0.000 0.000
Zn2 0.062 0.000 0.606
Zn3 0.221 0.500 0.935
Zn4 0.380 0.000 0.279
Au1 0.154 0.500 0.311
Au2 0.345 0.000 0.679
# E, eV/atom: -2.081